# YEr2V

A relaxed structure of YEr2V (PBE, the Alexandria database).

## Properties
* formation energy from the elements: 2.4 eV/f.u.
* total energy: -66.82 eV for the cell shown

Lattice parameters (Å, degrees): 3.3619 3.3619 34.1137 90.00 90.00 120.00
Space group R-3m (No. 166, hexagonal axes)
Inequivalent atoms, fractional coordinates:
Y 0.0000 0.0000 0.0000 (multiplicity 3)
Er 0.0000 0.0000 0.4182 (multiplicity 6)
V 0.0000 0.0000 0.5000 (multiplicity 3)

---

# K2SrPuO6

A relaxed structure of K2SrPuO6 (PBE, the Alexandria database).

## Properties
* formation energy without anion corrections: -2240.4 meV/atom
* total energy: -281.45 eV for the cell shown

Lattice parameters (Å, degrees): 8.884 8.884 8.884 90.00 90.00 90.00
Space group Fm-3m (No. 225)
Inequivalent atoms, fractional coordinates:
K 0.250 0.250 0.250 (multiplicity 8)
Sr 0.000 0.000 0.000 (multiplicity 4)
Pu 0.000 0.000 0.500 (multiplicity 4)
O 0.000 0.000 0.277 (multiplicity 24)

---

# ReRu2Rh2

A relaxed structure of ReRu2Rh2 (PBE, the Alexandria database).

## Properties
* excess energy over the best structure of this formula in the dataset: 0.683 eV per atom
* formation energy from the elements: 3.4 eV/f.u.
* total energy: -84.62 eV for the cell shown

Lattice parameters (Å, degrees): 3.489 3.489 12.788 90.00 90.00 90.00
Space group I4/mmm (No. 139)
Inequivalent atoms, fractional coordinates:
Re 0.000 0.000 0.000 (multiplicity 2)
Ru 0.000 0.500 0.250 (multiplicity 4)
Rh 0.000 0.000 0.402 (multiplicity 4)

---

# BaU4S8

A relaxed structure of BaU4S8 (PBE, the Alexandria database).

## Properties
* excess energy over the best structure of this formula in the dataset: 0.000 eV per atom
* formation energy without anion corrections: -1495.6 meV/atom
* total energy: -199.08 eV for the cell shown

Lattice parameters (Å, degrees): 13.796 7.992 10.195 90.00 131.68 90.00
Space group C2/m (No. 12)
Inequivalent atoms, fractional coordinates:
Ba 0.000 0.000 0.000 (multiplicity 2)
U 0.000 0.253 0.500 (multiplicity 4)
U 0.235 0.500 0.471 (multiplicity 4)
S 0.000 0.000 0.318 (multiplicity 4)
S 0.019 0.500 0.698 (multiplicity 4)
S 0.237 0.234 0.307 (multiplicity 8)

---

# Nd3Ho5Tm4

A relaxed structure of Nd3Ho5Tm4 (PBE, the Alexandria database).

## Properties
* excess energy over the best structure of this formula in the dataset: 0.000 eV per atom
* formation energy from the elements: 0.3 eV/f.u.
* total energy: -54.82 eV for the cell shown

Lattice parameters (Å, degrees): 6.149 7.100 8.692 89.99 89.91 89.85
Space group P-1 (No. 2)
Inequivalent atoms, fractional coordinates:
Nd 0.000 0.000 0.000 (multiplicity 1)
Nd 0.166 0.251 0.334 (multiplicity 2)
Ho 0.000 0.500 0.000 (multiplicity 1)
Ho 0.335 0.000 0.667 (multiplicity 2)
Ho 0.499 0.748 0.000 (multiplicity 2)
Tm 0.169 0.748 0.334 (multiplicity 2)
Tm 0.334 0.500 0.667 (multiplicity 2)

---

# Cu2Ru2Au

A relaxed structure of Cu2Ru2Au (PBE, the Alexandria database).

## Properties
* formation energy from the elements: 2.5 eV/f.u.
* total energy: -55.06 eV for the cell shown

Lattice parameters (Å, degrees): 7.430 7.430 2.674 90.00 90.00 90.00
Space group P4/mbm (No. 127)
Inequivalent atoms, fractional coordinates:
Cu 0.174 0.326 0.000 (multiplicity 4)
Ru 0.121 0.621 0.500 (multiplicity 4)
Au 0.000 0.000 0.000 (multiplicity 2)